Entry from Alexandria via LeMat-Bulk: a relaxed structure of MgPIr3 (GGA-PBEsol).

Lattice parameters (Å, degrees): 4.367 4.367 4.367 90.00 90.00 90.00
Element x y z (fractional)
1 Ir 0.000 0.000 0.500
2 Ir 0.000 0.500 0.000
3 Ir 0.500 0.000 0.000
4 Mg 0.500 0.500 0.500
5 P 0.000 0.000 0.000

Output
Magnetization   0.00 Bohr magnetons per cell
ΔE_f   4.427 kcal/mol of atoms
Volume   83.3 Å³/cell
Theoretical density   12.60 g cm⁻³